(1)
Entry from Alexandria: a relaxed CsIn3Au crystal (PBE).

The energy above the most stable polymorph in this dataset is 0.198 eV per atom. As for the energy: -2.4434 eV/atom. The value obtained for the spin magnetization is 0.0 μB per cell. The value obtained for the formation energy is 0.026 eV per atom.

a = 5.599 Å, b = 5.599 Å, c = 5.599 Å
α = 90.00°, β = 90.00°, γ = 90.00°
Element x y z (fractional)
Cs: 0.000 0.000 0.000
In: 0.000 0.500 0.500
In: 0.500 0.000 0.500
In: 0.500 0.500 0.000
Au: 0.500 0.500 0.500

---

(2)
Entry from Alexandria: a relaxed CsIn4Au crystal (PBE).

The energy above the most stable polymorph in this dataset is 0.029 eV per atom. As for the energy: -2.6226 eV/atom. The value obtained for the spin magnetization is 0.0 μB per cell. The value obtained for the formation energy is -0.108 eV per atom.

a = 9.646 Å, b = 9.646 Å, c = 7.932 Å
α = 90.00°, β = 90.00°, γ = 150.94°
Element x y z (fractional)
Cs: 0.121 0.879 0.750
Cs: 0.879 0.121 0.250
In: 0.072 0.928 0.250
In: 0.313 0.687 0.554
In: 0.313 0.687 0.946
In: 0.500 0.500 0.000
In: 0.500 0.500 0.500
In: 0.687 0.313 0.054
In: 0.687 0.313 0.446
In: 0.928 0.072 0.750
Au: 0.224 0.776 0.250
Au: 0.776 0.224 0.750

---

(3)
Entry from Alexandria: a relaxed Cs5In2Au4 crystal (PBE).

As for the energy: -2.2903 eV/atom. The value obtained for the spin magnetization is 0.0 μB per cell. The value obtained for the formation energy is -0.213 eV per atom.

a = 9.451 Å, b = 9.451 Å, c = 9.936 Å
α = 90.09°, β = 90.09°, γ = 33.65°
Element x y z (fractional)
Cs: 0.000 0.000 0.000
Cs: 0.341 0.341 0.012
Cs: 0.350 0.350 0.512
Cs: 0.650 0.650 0.488
Cs: 0.659 0.659 0.988
In: 0.014 0.014 0.648
In: 0.986 0.986 0.352
Au: 0.164 0.164 0.757
Au: 0.498 0.498 0.265
Au: 0.502 0.502 0.735
Au: 0.836 0.836 0.243

---

(4)
Entry from Alexandria: a relaxed CsInAu crystal (PBE).

The energy above the most stable polymorph in this dataset is 0.017 eV per atom. As for the energy: -2.5417 eV/atom. The value obtained for the spin magnetization is 0.0 μB per cell. The value obtained for the formation energy is -0.252 eV per atom.

a = 11.622 Å, b = 7.816 Å, c = 5.591 Å
α = 90.00°, β = 118.70°, γ = 90.00°
Element x y z (fractional)
Cs: 0.000 0.000 0.000
Cs: 0.217 0.500 0.217
Cs: 0.500 0.500 0.000
Cs: 0.717 0.000 0.217
In: 0.303 0.000 0.803
In: 0.416 0.000 0.415
In: 0.803 0.500 0.803
In: 0.916 0.500 0.415
Au: 0.108 0.249 0.608
Au: 0.108 0.751 0.608
Au: 0.608 0.251 0.608
Au: 0.608 0.749 0.608

---

Please write out number 1 again, unchanged.
Entry from Alexandria: a relaxed CsIn3Au crystal (PBE).

The energy above the most stable polymorph in this dataset is 0.198 eV per atom. As for the energy: -2.4434 eV/atom. The value obtained for the spin magnetization is 0.0 μB per cell. The value obtained for the formation energy is 0.026 eV per atom.

a = 5.599 Å, b = 5.599 Å, c = 5.599 Å
α = 90.00°, β = 90.00°, γ = 90.00°
Element x y z (fractional)
Cs: 0.000 0.000 0.000
In: 0.000 0.500 0.500
In: 0.500 0.000 0.500
In: 0.500 0.500 0.000
Au: 0.500 0.500 0.500